No. 1
Here is a relaxed structure of Sr2MnCo2 from Alexandria. Energies are from PBE.

Geometry as POSCAR:
```
Sr2MnCo2
1.0
-3.116 -4.989 -2.266
5.210 -3.505 0.555
-1.334 -1.255 4.597
Sr Co Mn
4 4 2
Direct
0.684 0.816 0.500
0.184 0.684 0.500
0.816 0.316 0.500
0.316 0.184 0.500
0.131 0.369 0.000
0.631 0.131 0.000
0.869 0.631 0.000
0.369 0.869 0.000
0.500 0.500 0.000
0.000 0.000 0.000
```

Summary:
Magnetic moment (Bohr magnetons per cell): 2.3

=====

No. 2
Here is a relaxed structure of SrMnCo from Alexandria. Energies are from PBE.

Geometry as POSCAR:
```
SrMnCo
1.0
5.793 0.000 0.000
0.000 4.140 0.000
0.000 0.000 11.579
Sr Mn Co
4 4 4
Direct
0.121 0.750 0.632
0.379 0.250 0.132
0.621 0.750 0.868
0.879 0.250 0.368
0.885 0.750 0.134
0.385 0.750 0.366
0.615 0.250 0.634
0.115 0.250 0.866
0.608 0.750 0.536
0.392 0.250 0.464
0.108 0.750 0.964
0.892 0.250 0.036
```

Summary:
Magnetic moment (Bohr magnetons per cell): 17.9

=====

No. 3
Here is a relaxed structure of SrMnCo from Alexandria. Energies are from PBE.

Geometry as POSCAR:
```
SrMnCo
1.0
-1.035 3.249 -1.817
-4.072 -3.922 -8.835
-2.354 -1.579 2.627
Mn Sr Co
2 2 2
Direct
0.990 0.070 0.408
0.660 0.060 0.738
0.097 0.758 0.306
0.554 0.371 0.840
0.286 0.180 0.111
0.365 0.950 0.036
```

Summary:
Magnetic moment (Bohr magnetons per cell): 0.0

=====

No. 4
Here is a relaxed structure of SrMnCo2 from Alexandria. Energies are from PBE.

Geometry as POSCAR:
```
SrMnCo2
1.0
4.513 0.024 0.000
-0.022 4.513 0.000
0.000 0.000 3.266
Sr Mn Co
1 1 2
Direct
0.000 0.500 0.500
0.500 0.000 0.500
0.500 0.500 0.000
0.000 0.000 0.000
```

Summary:
Magnetic moment (Bohr magnetons per cell): 5.9

=====

No. 5
Here is a relaxed structure of Sr2MnCo2 from Alexandria. Energies are from PBE.

Geometry as POSCAR:
```
Sr2MnCo2
1.0
-1.204 2.044 2.467
-3.185 -1.046 -0.687
-1.161 -7.135 7.721
Co Sr Mn
2 2 1
Direct
0.750 0.250 0.500
0.250 0.750 0.500
0.377 0.377 0.246
0.623 0.623 0.754
0.000 0.000 0.000
```

Summary:
Magnetic moment (Bohr magnetons per cell): 7.0

=====

No. 6
Here is a relaxed structure of Sr2MnCo from Alexandria. Energies are from PBE.

Geometry as POSCAR:
```
Sr2MnCo
1.0
4.101 0.000 0.000
0.000 4.703 -0.004
0.000 2.356 5.955
Sr Co Mn
2 1 1
Direct
0.000 0.987 0.901
0.500 0.265 0.344
0.000 0.671 0.532
0.500 0.577 0.722
```

Summary:
Magnetic moment (Bohr magnetons per cell): 4.5

=====

No. 7
Here is a relaxed structure of Sr3MnCo from Alexandria. Energies are from PBE.

Geometry as POSCAR:
```
Sr3MnCo
1.0
5.676 0.000 0.000
0.000 5.676 0.000
0.000 0.000 5.676
Sr Co Mn
3 1 1
Direct
0.500 0.000 0.000
0.000 0.000 0.500
0.000 0.500 0.000
0.000 0.000 0.000
0.500 0.500 0.500
```

Summary:
Magnetic moment (Bohr magnetons per cell): 4.8

=====

No. 8
Here is a relaxed structure of SrMnCo2 from Alexandria. Energies are from PBE.

Geometry as POSCAR:
```
SrMnCo2
1.0
-0.565 -2.831 1.265
3.053 -0.733 -0.276
1.230 2.671 6.524
Co Sr Mn
2 1 1
Direct
0.500 0.500 0.231
0.000 0.000 0.084
0.500 0.500 0.771
0.000 0.000 0.415
```

Summary:
Magnetic moment (Bohr magnetons per cell): 6.7

=====

Energy relative to the lowest polymorph listed for this composition values (in meV per atom) by entry order: 59, 159, 76, 503, 0, 123, 0, 239.
Mass density values (in kg/m3) by entry order: 5879, 4820, 5050, 6501, 4792, 4179, 3421, 6083.